1.
SrHg2BiRh: relaxed, GGA-PBE.

```
5
Lattice="5.258 0.000 0.000 0.000 5.258 0.000 0.000 0.000 5.343" Properties=species:S:1:pos:R:3 pbc="T T T"
Sr 0.000 0.000 0.000
Hg 0.000 2.629 2.672
Hg 2.629 0.000 2.672
Bi 2.629 2.629 0.000
Rh 2.629 2.629 2.672
```

Total energy = -2.92 eV per atom
Total magnetic moment = 0.000 μB per cell
N(E_F) = 3.3 states/eV per cell
DFT formation energy = -0.221 eV/atom
Space-group type = P4/mmm, No. 123



2.
VHgBi2Rh: relaxed, GGA-PBE.

```
5
Lattice="5.162 0.000 0.000 0.000 5.162 0.000 0.000 0.000 5.167" Properties=species:S:1:pos:R:3 pbc="T T T"
V 0.000 0.000 0.000
Hg 0.000 0.000 2.584
Bi 0.000 2.581 0.000
Bi 2.581 0.000 0.000
Rh 2.581 2.581 2.584
```

Total energy = -4.01 eV per atom
Total magnetic moment = 2.371 μB per cell
N(E_F) = 5.4 states/eV per cell
DFT formation energy = 0.896 eV/atom
Space-group type = P4/mmm, No. 123



3.
HgBiRu2: relaxed, GGA-PBE.

```
8
Lattice="-2.108 2.108 9.737 2.108 -2.108 9.737 2.108 2.108 -9.737" Properties=species:S:1:pos:R:3 pbc="T T T"
Hg 0.000 0.000 0.000
Hg 0.000 2.108 4.869
Bi 2.108 0.000 4.869
Bi 0.000 0.000 9.737
Ru 3.162 0.673 -2.434
Ru 0.673 1.054 2.434
Ru -1.054 1.435 7.303
Ru 1.435 1.054 12.171
```

Total energy = -4.85 eV per atom
Total magnetic moment = 2.353 μB per cell
N(E_F) = 9.2 states/eV per cell
DFT formation energy = 0.829 eV/atom
Space-group type = I-42d, No. 122



4.
HgBi2Ru: relaxed, GGA-PBE.

```
8
Lattice="-3.290 3.290 6.381 3.290 -3.290 6.381 3.290 3.290 -6.381" Properties=species:S:1:pos:R:3 pbc="T T T"
Hg 0.000 0.000 0.000
Hg 0.000 3.290 3.190
Bi 1.645 -1.234 4.786
Bi 2.056 1.645 1.595
Bi 1.645 4.524 -1.595
Bi 1.234 1.645 7.976
Ru 3.290 0.000 3.190
Ru 0.000 0.000 6.381
```

Total energy = -3.83 eV per atom
Total magnetic moment = 0.000 μB per cell
N(E_F) = 4.5 states/eV per cell
DFT formation energy = 0.503 eV/atom
Space-group type = I-42d, No. 122



5.
Hg3BiRu: relaxed, GGA-PBE.

```
5
Lattice="5.229 0.000 0.000 0.000 5.229 0.000 0.000 0.000 5.229" Properties=species:S:1:pos:R:3 pbc="T T T"
Hg 0.000 0.000 2.615
Hg 0.000 2.615 0.000
Hg 2.615 0.000 0.000
Bi 2.615 2.615 2.615
Ru 0.000 0.000 0.000
```

Total energy = -2.14 eV per atom
Total magnetic moment = 1.868 μB per cell
N(E_F) = 3.4 states/eV per cell
DFT formation energy = 0.676 eV/atom
Space-group type = Pm-3m, No. 221



6.
Hg2BiRuS: relaxed, GGA-PBE.

```
5
Lattice="5.739 0.000 0.000 0.000 5.739 0.000 0.000 0.000 5.285" Properties=species:S:1:pos:R:3 pbc="T T T"
Hg 0.000 2.869 0.000
Hg 2.869 0.000 0.000
Bi 0.000 0.000 0.000
Ru 2.869 2.869 2.642
S 0.000 0.000 2.642
```

Total energy = -2.28 eV per atom
Total magnetic moment = 3.256 μB per cell
N(E_F) = 7.5 states/eV per cell
Raw formation energy = 125 kJ/mol of atoms
Space-group type = P4/mmm, No. 123



7.
SiHgBiRu2: relaxed, GGA-PBE.

```
5
Lattice="5.040 0.000 0.000 0.000 5.040 0.000 0.000 0.000 5.530" Properties=species:S:1:pos:R:3 pbc="T T T"
Si 0.000 0.000 0.000
Hg 2.520 2.520 0.000
Bi 2.520 2.520 2.765
Ru 0.000 2.520 2.765
Ru 2.520 0.000 2.765
```

Total energy = -3.75 eV per atom
Total magnetic moment = 2.039 μB per cell
N(E_F) = 6.7 states/eV per cell
Raw formation energy = 181 kJ/mol of atoms
Space-group type = P4/mmm, No. 123



8.
Sn2HgBiRu: relaxed, GGA-PBE.

```
5
Lattice="5.880 0.000 0.000 0.000 5.880 0.000 0.000 0.000 5.047" Properties=species:S:1:pos:R:3 pbc="T T T"
Sn 0.000 2.940 0.000
Sn 2.940 0.000 0.000
Hg 0.000 0.000 2.524
Bi 2.940 2.940 0.000
Ru 2.940 2.940 2.524
```

Total energy = -3.16 eV per atom
Total magnetic moment = 0.000 μB per cell
N(E_F) = 6.3 states/eV per cell
DFT formation energy = 1.136 eV/atom
Space-group type = P4/mmm, No. 123



9.
Tc2HgBiRu: relaxed, GGA-PBE.

```
5
Lattice="5.084 0.000 0.000 0.000 5.084 0.000 0.000 0.000 5.014" Properties=species:S:1:pos:R:3 pbc="T T T"
Tc 0.000 2.542 0.000
Tc 2.542 0.000 0.000
Hg 0.000 0.000 0.000
Bi 2.542 2.542 2.507
Ru 0.000 0.000 2.507
```

Total energy = -4.73 eV per atom
Total magnetic moment = 8.021 μB per cell
N(E_F) = 6.6 states/eV per cell
DFT formation energy = 2.106 eV/atom
Space-group type = P4/mmm, No. 123



10.
Hg3Bi3S8: relaxed, GGA-PBE.

```
14
Lattice="4.057 2.342 6.629 -4.057 2.342 6.629 0.000 -4.685 6.629" Properties=species:S:1:pos:R:3 pbc="T T T"
Hg 0.000 0.000 0.000
Hg 0.000 0.000 7.613
Hg 0.000 0.000 12.273
Bi -4.057 0.000 9.943
Bi -2.029 1.171 3.314
Bi 2.029 1.171 3.314
S -2.156 -1.245 11.604
S 0.000 -2.490 8.281
S -2.156 1.245 8.281
S 0.000 0.000 4.906
S 0.000 0.000 14.980
S 2.156 -1.245 11.604
S 0.000 2.490 11.604
S 2.156 1.245 8.281
```

Total energy = -3.40 eV per atom
Total magnetic moment = 0.000 μB per cell
N(E_F) = 14.5 states/eV per cell
Raw formation energy = -14 kJ/mol of atoms
Space-group type = R-3m, No. 166



11.
HgBiS3: relaxed, GGA-PBE.

```
10
Lattice="6.296 0.000 0.000 0.000 5.353 0.000 -0.033 0.000 8.205" Properties=species:S:1:pos:R:3 pbc="T T T"
Hg 0.889 1.338 3.048
Hg 5.374 4.015 5.157
Bi 1.494 1.338 7.380
Bi 4.769 4.015 0.825
S 0.621 4.015 3.238
S 0.700 4.015 7.616
S 2.817 1.338 1.505
S 3.446 4.015 6.701
S 5.562 1.338 0.589
S 5.642 1.338 4.968
```

Total energy = -3.32 eV per atom
Total magnetic moment = 0.000 μB per cell
N(E_F) = 4.8 states/eV per cell
Raw formation energy = -1 kJ/mol of atoms
Space-group type = P2_1/m, No. 11



12.
HgBiS2: relaxed, GGA-PBE.

```
4
Lattice="3.574 -2.062 0.000 3.574 2.062 0.000 -1.130 0.000 7.115" Properties=species:S:1:pos:R:3 pbc="T T T"
Hg 0.000 0.000 0.000
Bi 3.009 0.000 3.558
S 0.604 0.000 5.171
S 5.414 0.000 1.944
```

Total energy = -3.27 eV per atom
Total magnetic moment = 0.000 μB per cell
N(E_F) = 1.1 states/eV per cell
Raw formation energy = -15 kJ/mol of atoms
Space-group type = C2/m, No. 12



13.
HgBiS2: relaxed, GGA-PBE.

```
4
Lattice="2.025 1.169 7.184 -2.025 1.169 7.184 0.000 -2.339 7.184" Properties=species:S:1:pos:R:3 pbc="T T T"
Hg 0.000 0.000 0.000
Bi 0.000 0.000 17.868
S 0.000 0.000 5.126
S 0.000 0.000 9.048
```

Total energy = -3.21 eV per atom
Total magnetic moment = 0.000 μB per cell
N(E_F) = 2.8 states/eV per cell
Raw formation energy = -10 kJ/mol of atoms
Space-group type = R3m, No. 160



14.
HgBi2S: relaxed, GGA-PBE.

```
4
Lattice="0.000 3.713 3.713 3.713 0.000 3.713 3.713 3.713 0.000" Properties=species:S:1:pos:R:3 pbc="T T T"
Hg 0.000 0.000 0.000
Bi 1.857 1.857 1.857
Bi 5.570 5.570 5.570
S 3.713 3.713 3.713
```

Total energy = -2.88 eV per atom
Total magnetic moment = 0.000 μB per cell
N(E_F) = 2.7 states/eV per cell
Raw formation energy = 16 kJ/mol of atoms
Space-group type = Fm-3m, No. 225



15.
Hg2BiS2: relaxed, GGA-PBE.

```
10
Lattice="8.152 0.000 0.000 0.000 8.152 0.000 0.000 0.000 3.987" Properties=species:S:1:pos:R:3 pbc="T T T"
Hg 0.937 3.140 0.000
Hg 3.140 7.216 0.000
Hg 5.013 0.937 0.000
Hg 7.216 5.013 0.000
Bi 0.000 0.000 1.994
Bi 4.076 4.076 1.994
S 1.927 6.003 1.994
S 2.149 1.927 1.994
S 6.003 6.225 1.994
S 6.225 2.149 1.994
```

Total energy = -2.53 eV per atom
Total magnetic moment = 0.000 μB per cell
N(E_F) = 3.4 states/eV per cell
Raw formation energy = 2 kJ/mol of atoms
Space-group type = P4/mbm, No. 127



16.
HgBiS2: relaxed, GGA-PBE.

```
16
Lattice="8.422 0.000 0.000 0.000 3.956 0.000 0.000 0.000 12.934" Properties=species:S:1:pos:R:3 pbc="T T T"
Hg 0.743 0.989 0.792
Hg 3.468 2.967 7.259
Hg 4.954 0.989 5.675
Hg 7.680 2.967 12.142
Bi 0.684 2.967 4.651
Bi 3.527 0.989 11.118
Bi 4.896 2.967 1.816
Bi 7.738 0.989 8.283
S 0.416 2.967 9.771
S 1.491 0.989 6.836
S 2.720 2.967 0.369
S 3.795 0.989 3.304
S 4.627 2.967 9.630
S 5.702 0.989 12.565
S 6.932 2.967 6.098
S 8.007 0.989 3.163
```

Total energy = -3.28 eV per atom
Total magnetic moment = 0.000 μB per cell
N(E_F) = 2.2 states/eV per cell
Raw formation energy = -16 kJ/mol of atoms
Space-group type = Pnma, No. 62



17.
HgBi2S: relaxed, GGA-PBE.

```
8
Lattice="-2.604 2.604 9.612 2.604 -2.604 9.612 2.604 2.604 -9.612" Properties=species:S:1:pos:R:3 pbc="T T T"
Hg 0.000 0.000 0.000
Hg 0.000 2.604 4.806
Bi 1.302 -0.884 7.209
Bi 1.720 1.302 2.403
Bi 1.302 3.488 -2.403
Bi 0.884 1.302 12.016
S 2.604 0.000 4.806
S 0.000 0.000 9.612
```

Total energy = -2.98 eV per atom
Total magnetic moment = 0.000 μB per cell
N(E_F) = 2.3 states/eV per cell
Raw formation energy = 6 kJ/mol of atoms
Space-group type = I-42d, No. 122



18.
Hg2BiS4: relaxed, GGA-PBE.

```
14
Lattice="2.031 -6.780 0.000 2.031 6.780 0.000 0.000 0.000 11.856" Properties=species:S:1:pos:R:3 pbc="T T T"
Hg 2.031 4.982 6.670
Hg 2.031 4.982 11.114
Hg 2.031 -4.982 0.742
Hg 2.031 -4.982 5.186
Bi 2.031 1.324 8.892
Bi 2.031 -1.324 2.964
S 2.031 6.096 8.892
S 2.031 3.925 1.484
S 2.031 3.925 4.443
S 2.031 0.000 0.000
S 2.031 0.000 5.928
S 2.031 -3.925 7.412
S 2.031 -3.925 10.371
S 2.031 -6.096 2.964
```

Total energy = -3.02 eV per atom
Total magnetic moment = 0.000 μB per cell
N(E_F) = 8.5 states/eV per cell
Raw formation energy = -2 kJ/mol of atoms
Space-group type = Cmcm, No. 63



19.
HgBiS2: relaxed, GGA-PBE.

```
4
Lattice="2.063 1.191 8.308 -2.063 1.191 8.308 0.000 -2.382 8.308" Properties=species:S:1:pos:R:3 pbc="T T T"
Hg 0.000 0.000 0.000
Bi 0.000 0.000 12.462
S 0.000 0.000 2.569
S 0.000 0.000 22.354
```

Total energy = -3.21 eV per atom
Total magnetic moment = 0.000 μB per cell
N(E_F) = 2.2 states/eV per cell
Raw formation energy = -9 kJ/mol of atoms
Space-group type = R-3m, No. 166



20.
HgBiS2: relaxed, GGA-PBE.

```
4
Lattice="0.000 3.522 3.522 3.522 0.000 3.522 3.522 3.522 0.000" Properties=species:S:1:pos:R:3 pbc="T T T"
Hg 0.000 0.000 0.000
Bi 3.522 3.522 3.522
S 1.761 1.761 1.761
S 5.283 5.283 5.283
```

Total energy = -3.00 eV per atom
Total magnetic moment = 0.000 μB per cell
N(E_F) = 2.2 states/eV per cell
Raw formation energy = 10 kJ/mol of atoms
Space-group type = Fm-3m, No. 225